A plane-wave DFT calculation with PBE was carried out for an optimized crystal structure of Tb2BeGe4Pd3.

Computed properties:
- Mass density: 8.58 g cm⁻³
- Final energy: -5.38 eV/atom
- Fermi-level density of states: 4.36 states/eV/cell
- DFT formation energy: -0.678 eV/atom

abc: 4.082 4.082 10.876
angles: 90.00 90.00 90.00
Space group P-4m2 (No. 115)
One atom of each set of equivalent atoms:
Tb1 0.000 0.500 0.236 x2
Be1 0.500 0.500 0.000 x1
Ge1 0.000 0.000 0.500 x1
Ge2 0.000 0.500 0.869 x2
Ge3 0.500 0.500 0.500 x1
Pd1 0.000 0.000 0.000 x1
Pd2 0.000 0.500 0.642 x2



A plane-wave DFT calculation with PBE was carried out for an optimized crystal structure of Tb2Be3Ge4Pd.

Computed properties:
- Mass density: 7.15 g cm⁻³
- Final energy: -4.64 eV/atom
- Fermi-level density of states: 6.10 states/eV/cell
- DFT formation energy: -0.233 eV/atom

abc: 4.139 4.139 10.051
angles: 90.00 90.00 90.00
Space group P-4m2 (No. 115)
One atom of each set of equivalent atoms:
Tb1 0.000 0.500 0.237 x2
Be1 0.000 0.000 0.000 x1
Be2 0.000 0.500 0.919 x2
Ge1 0.000 0.000 0.500 x1
Ge2 0.000 0.500 0.700 x2
Ge3 0.500 0.500 0.500 x1
Pd1 0.500 0.500 0.000 x1



A plane-wave DFT calculation with PBE was carried out for an optimized crystal structure of TbBeGe2Pd.

Computed properties:
- Mass density: 8.12 g cm⁻³
- Final energy: -5.16 eV/atom
- Fermi-level density of states: 2.12 states/eV/cell
- DFT formation energy: -0.608 eV/atom

abc: 4.033 4.033 10.553
angles: 90.00 90.00 90.00
Space group I-4m2 (No. 119)
One atom of each set of equivalent atoms:
Tb1 0.000 0.000 0.000 x2
Be1 0.000 0.500 0.250 x2
Ge1 0.000 0.000 0.383 x4
Pd1 0.000 0.500 0.750 x2



A plane-wave DFT calculation with PBE was carried out for an optimized crystal structure of Th2BeGe4Pd3.

Computed properties:
- Mass density: 9.60 g cm⁻³
- Final energy: -5.95 eV/atom
- Fermi-level density of states: 2.56 states/eV/cell
- DFT formation energy: -0.690 eV/atom

abc: 4.163 4.163 10.813
angles: 90.00 90.00 90.00
Space group P-4m2 (No. 115)
One atom of each set of equivalent atoms:
Th1 0.000 0.500 0.243 x2
Be1 0.500 0.500 0.000 x1
Ge1 0.000 0.000 0.500 x1
Ge2 0.000 0.500 0.873 x2
Ge3 0.500 0.500 0.500 x1
Pd1 0.000 0.000 0.000 x1
Pd2 0.000 0.500 0.643 x2